Here is an optimized crystal structure of Rb2BaPd from Alexandria. Energies are from PBE-GGA.

Summary:
Its formation energy from the elements is 366 meV per atom. Its total DFT energy (no corrections) is -1.90 eV per atom.

a b c (Å): 6.260 6.260 6.260
angles (deg): 60.00 60.00 60.00
Fractional coordinates of all 4 atoms:
Rb: 0.250 0.250 0.250
Rb: 0.750 0.750 0.750
Ba: 0.500 0.500 0.500
Pd: 0.000 0.000 0.000

Here is an optimized crystal structure of RbBa3Pd from Alexandria. Energies are from PBE-GGA.

Summary:
Its formation energy from the elements is -208 meV per atom. Its total DFT energy (no corrections) is -2.59 eV per atom. The offset from the most stable computed form is 2 meV/atom.

a b c (Å): 6.523 6.523 6.523
angles (deg): 90.00 90.00 90.00
Fractional coordinates of all 5 atoms:
Rb: 0.500 0.500 0.500
Ba: 0.000 0.500 0.000
Ba: 0.000 0.000 0.500
Ba: 0.500 0.000 0.000
Pd: 0.000 0.000 0.000

Here is an optimized crystal structure of Rb3Ba12Pd5 from Alexandria. Energies are from PBE-GGA.

Summary:
Its formation energy from the elements is -58 meV per atom. Its total DFT energy (no corrections) is -2.66 eV per atom.

a b c (Å): 18.349 18.349 18.349
angles (deg): 109.47 109.47 109.47
Fractional coordinates of all 80 atoms:
Rb: 0.750 0.375 0.125
Rb: 0.875 0.750 0.125
Rb: 0.375 0.750 0.625
Rb: 0.250 0.125 0.375
Rb: 0.875 0.125 0.250
Rb: 0.375 0.625 0.250
Rb: 0.625 0.375 0.750
Rb: 0.125 0.875 0.750
Rb: 0.750 0.875 0.625
Rb: 0.625 0.250 0.375
Rb: 0.125 0.250 0.875
Rb: 0.250 0.625 0.875
Pd: 0.125 0.375 0.250
Pd: 0.000 0.500 0.000
Pd: 0.000 0.000 0.000
Pd: 0.375 0.250 0.125
Pd: 0.500 0.000 0.500
Pd: 0.500 0.500 0.000
Pd: 0.125 0.750 0.375
Pd: 0.750 0.125 0.875
Pd: 0.750 0.625 0.375
Pd: 0.375 0.125 0.750
Pd: 0.625 0.875 0.250
Pd: 0.500 0.500 0.500
Pd: 0.500 0.000 0.000
Pd: 0.000 0.000 0.500
Pd: 0.250 0.375 0.625
Pd: 0.250 0.875 0.125
Pd: 0.000 0.500 0.500
Pd: 0.875 0.250 0.625
Pd: 0.625 0.750 0.875
Pd: 0.875 0.625 0.750
Ba: 0.685 0.094 0.001
Ba: 0.315 0.501 0.406
Ba: 0.999 0.406 0.315
Ba: 0.501 0.185 0.094
Ba: 0.591 0.685 0.685
Ba: 0.999 0.594 0.185
Ba: 0.315 0.815 0.409
Ba: 0.094 0.909 0.094
Ba: 0.594 0.999 0.685
Ba: 0.685 0.591 0.185
Ba: 0.815 0.499 0.406
Ba: 0.815 0.906 0.001
Ba: 0.094 0.685 0.501
Ba: 0.406 0.406 0.091
Ba: 0.091 0.906 0.406
Ba: 0.409 0.094 0.594
Ba: 0.091 0.185 0.185
Ba: 0.499 0.685 0.094
Ba: 0.815 0.909 0.315
Ba: 0.094 0.409 0.094
Ba: 0.406 0.999 0.815
Ba: 0.594 0.594 0.409
Ba: 0.906 0.815 0.501
Ba: 0.815 0.315 0.909
Ba: 0.406 0.406 0.591
Ba: 0.094 0.185 0.499
Ba: 0.185 0.685 0.091
Ba: 0.185 0.091 0.685
Ba: 0.594 0.001 0.185
Ba: 0.906 0.591 0.906
Ba: 0.501 0.315 0.906
Ba: 0.591 0.906 0.406
Ba: 0.909 0.815 0.815
Ba: 0.909 0.094 0.594
Ba: 0.906 0.315 0.499
Ba: 0.185 0.094 0.999
Ba: 0.594 0.594 0.909
Ba: 0.406 0.001 0.315
Ba: 0.315 0.409 0.815
Ba: 0.185 0.501 0.594
Ba: 0.906 0.091 0.906
Ba: 0.685 0.185 0.591
Ba: 0.499 0.815 0.906
Ba: 0.001 0.406 0.815
Ba: 0.409 0.315 0.315
Ba: 0.001 0.594 0.685
Ba: 0.685 0.499 0.594
Ba: 0.315 0.906 0.999

Here is an optimized crystal structure of Rb2Ba4Pd from Alexandria. Energies are from PBE-GGA.

Summary:
Its formation energy from the elements is -68 meV per atom. Its total DFT energy (no corrections) is -2.18 eV per atom.

a b c (Å): 6.438 6.438 12.517
angles (deg): 75.10 75.10 90.00
Fractional coordinates of all 7 atoms:
Rb: 0.666 0.666 0.669
Rb: 0.334 0.334 0.331
Ba: 0.867 0.867 0.266
Ba: 0.133 0.133 0.734
Ba: 0.000 0.500 0.000
Ba: 0.500 0.000 0.000
Pd: 0.000 0.000 0.000